Record 1
! SrAcGa4, relaxed, DFT GGA-PBE; values from VASP
! Excess energy over the best structure of this formula in the dataset (meV/atom): 0
! Space-group type: Immm
&SYSTEM
  ibrav = 0, nat = 6, ntyp = 3
/
ATOMIC_SPECIES
Ga 69.72 Ga.upf
Ac 227.00 Ac.upf
Sr 87.62 Sr.upf
CELL_PARAMETERS angstrom
1.523 1.157 3.963
-2.582 -3.772 4.542
5.976 -2.271 0.814
ATOMIC_POSITIONS crystal
Ga 0.668 0.576 0.588
Ga 0.332 0.912 0.925
Ga 0.332 0.424 0.412
Ga 0.668 0.088 0.075
Ac 0.000 0.500 0.000
Sr 0.000 0.000 0.500

***

Record 2
! NaZn2AgCl6, relaxed, DFT GGA-PBE; values from VASP
! Space-group type: C2/c
! Uncorrected formation energy (eV per atom): -1.132
&SYSTEM
  ibrav = 0, nat = 20, ntyp = 4
/
ATOMIC_SPECIES
Cl 35.45 Cl.upf
Zn 65.41 Zn.upf
Ag 107.87 Ag.upf
Na 22.99 Na.upf
CELL_PARAMETERS angstrom
6.750 -0.286 -0.297
1.796 8.639 0.279
1.796 -0.042 8.643
ATOMIC_POSITIONS crystal
Cl 0.135 0.970 0.799
Cl 0.090 0.294 0.427
Cl 0.410 0.573 0.706
Cl 0.910 0.706 0.573
Cl 0.370 0.873 0.390
Cl 0.630 0.127 0.610
Cl 0.590 0.427 0.294
Cl 0.635 0.799 0.970
Cl 0.870 0.390 0.873
Cl 0.865 0.030 0.201
Cl 0.130 0.610 0.127
Cl 0.365 0.201 0.030
Zn 0.207 0.791 0.615
Zn 0.707 0.615 0.791
Zn 0.793 0.209 0.385
Zn 0.293 0.385 0.209
Ag 0.750 0.104 0.896
Ag 0.250 0.896 0.104
Na 0.750 0.726 0.274
Na 0.250 0.274 0.726

***

Record 3
! Na2Li6Hg, relaxed, DFT GGA-PBE; values from VASP
! Space-group type: P-3m1
&SYSTEM
  ibrav = 0, nat = 9, ntyp = 3
/
ATOMIC_SPECIES
Na 22.99 Na.upf
Li 6.94 Li.upf
Hg 200.59 Hg.upf
CELL_PARAMETERS angstrom
6.591 0.000 0.000
0.000 5.268 -3.041
0.000 0.000 6.083
ATOMIC_POSITIONS crystal
Na 0.374 0.667 0.333
Na 0.626 0.333 0.667
Li 0.828 0.832 0.168
Li 0.172 0.665 0.832
Li 0.828 0.335 0.168
Li 0.172 0.168 0.832
Li 0.172 0.168 0.335
Li 0.828 0.832 0.665
Hg 0.500 0.000 0.000

***

Record 4
! BeRhSe2, relaxed, DFT GGA-PBE; values from VASP
! Space-group type: Cmmm
! Uncorrected formation energy (eV per atom): 0.197
&SYSTEM
  ibrav = 0, nat = 4, ntyp = 3
/
ATOMIC_SPECIES
Be 9.01 Be.upf
Se 78.96 Se.upf
Rh 102.91 Rh.upf
CELL_PARAMETERS angstrom
3.721 -0.038 0.000
-2.253 2.963 0.000
0.000 0.000 6.929
ATOMIC_POSITIONS crystal
Be 0.500 0.500 0.250
Se 0.000 0.000 0.479
Se 0.000 0.000 0.021
Rh 0.500 0.500 0.750

***

Record 5
! Pr8Sm4Dy3, relaxed, DFT GGA-PBE; values from VASP
! Space-group type: C2/m
&SYSTEM
  ibrav = 0, nat = 15, ntyp = 3
/
ATOMIC_SPECIES
Sm 150.36 Sm.upf
Dy 162.50 Dy.upf
Pr 140.91 Pr.upf
CELL_PARAMETERS angstrom
6.948 -0.075 -0.107
-3.307 8.619 1.583
-3.307 -1.507 8.632
ATOMIC_POSITIONS crystal
Sm 0.000 0.500 0.000
Sm 0.500 0.000 0.000
Sm 0.000 0.000 0.500
Sm 0.000 0.000 0.000
Dy 0.500 0.500 0.000
Dy 0.500 0.500 0.500
Dy 0.500 0.000 0.500
Pr 0.277 0.247 0.247
Pr 0.500 0.247 0.753
Pr 0.183 0.703 0.703
Pr 0.817 0.297 0.297
Pr 0.000 0.297 0.703
Pr 0.500 0.753 0.247
Pr 0.000 0.703 0.297
Pr 0.723 0.753 0.753

***

Record 6
! AgSb2Te, relaxed, DFT GGA-PBE; values from VASP
! Space-group type: I-4m2
! Uncorrected formation energy (eV per atom): 0.258
&SYSTEM
  ibrav = 0, nat = 4, ntyp = 3
/
ATOMIC_SPECIES
Sb 121.76 Sb.upf
Te 127.60 Te.upf
Ag 107.87 Ag.upf
CELL_PARAMETERS angstrom
-0.440 -1.337 5.035
5.223 0.139 0.167
-2.520 4.278 -1.635
ATOMIC_POSITIONS crystal
Sb 0.000 0.000 0.000
Sb 0.250 0.750 0.500
Te 0.500 0.500 0.000
Ag 0.750 0.250 0.500

***

Record 7
! CdNO2F, relaxed, DFT GGA-PBE; values from VASP
! Space-group type: P4/mmm
! Uncorrected formation energy (eV per atom): 1.264
&SYSTEM
  ibrav = 0, nat = 5, ntyp = 4
/
ATOMIC_SPECIES
N 14.01 N.upf
Cd 112.41 Cd.upf
F 19.00 F.upf
O 16.00 O.upf
CELL_PARAMETERS angstrom
-4.106 1.135 -0.775
-0.037 -2.529 -3.514
-1.074 -2.600 1.883
ATOMIC_POSITIONS crystal
N 0.000 0.000 0.500
Cd 0.500 0.500 0.500
F 0.000 0.000 0.000
O 0.500 0.000 0.000
O 0.000 0.500 0.000

***

Record 8
! BaLiHg2Te, relaxed, DFT GGA-PBE; values from VASP
! Space-group type: P4/mmm
! Uncorrected formation energy (eV per atom): -0.694
&SYSTEM
  ibrav = 0, nat = 5, ntyp = 4
/
ATOMIC_SPECIES
Ba 137.33 Ba.upf
Hg 200.59 Hg.upf
Li 6.94 Li.upf
Te 127.60 Te.upf
CELL_PARAMETERS angstrom
-3.069 2.260 3.595
-2.307 -4.611 0.931
3.742 -1.089 3.880
ATOMIC_POSITIONS crystal
Ba 0.500 0.500 0.500
Hg 0.000 0.500 0.000
Hg 0.500 0.000 0.000
Li 0.000 0.000 0.000
Te 0.000 0.000 0.500

***

Record 9
! MgCrW2, relaxed, DFT GGA-PBE; values from VASP
! Excess energy over the best structure of this formula in the dataset (meV/atom): 325
! Space-group type: Fm-3m
&SYSTEM
  ibrav = 0, nat = 4, ntyp = 3
/
ATOMIC_SPECIES
W 183.84 W.upf
Cr 52.00 Cr.upf
Mg 24.30 Mg.upf
CELL_PARAMETERS angstrom
0.563 -3.631 2.428
0.863 0.342 4.305
-3.049 -1.166 2.957
ATOMIC_POSITIONS crystal
W 0.750 0.750 0.750
W 0.250 0.250 0.250
Cr 0.500 0.500 0.500
Mg 0.000 0.000 0.000

***

Record 10
! GaCo3P, relaxed, DFT GGA-PBE; values from VASP
! Excess energy over the best structure of this formula in the dataset (meV/atom): 1009
! Space-group type: Pm-3m
&SYSTEM
  ibrav = 0, nat = 5, ntyp = 3
/
ATOMIC_SPECIES
Co 58.93 Co.upf
P 30.97 P.upf
Ga 69.72 Ga.upf
CELL_PARAMETERS angstrom
-1.713 0.692 -3.904
-2.172 -3.722 0.293
-3.317 2.080 1.824
ATOMIC_POSITIONS crystal
Co 0.000 0.000 0.500
Co 0.500 0.000 0.000
Co 0.000 0.500 0.000
P 0.500 0.500 0.500
Ga 0.000 0.000 0.000

***

Record 11
! Sm4ZnPt3, relaxed, DFT GGA-PBE; values from VASP
! Space-group type: Pmm2
&SYSTEM
  ibrav = 0, nat = 8, ntyp = 3
/
ATOMIC_SPECIES
Pt 195.08 Pt.upf
Zn 65.41 Zn.upf
Sm 150.36 Sm.upf
CELL_PARAMETERS angstrom
-3.782 0.167 -0.854
-1.007 -0.240 4.412
0.330 10.868 0.666
ATOMIC_POSITIONS crystal
Pt 0.000 0.500 0.588
Pt 0.000 0.000 0.412
Pt 0.500 0.000 0.926
Zn 0.500 0.500 0.074
Sm 0.000 0.500 0.854
Sm 0.500 0.500 0.369
Sm 0.500 0.000 0.637
Sm 0.000 0.000 0.140

***

Record 12
! AgPd9Pb2, relaxed, DFT GGA-PBE; values from VASP
! Space-group type: P4/mmm
&SYSTEM
  ibrav = 0, nat = 12, ntyp = 3
/
ATOMIC_SPECIES
Pd 106.42 Pd.upf
Pb 207.20 Pb.upf
Ag 107.87 Ag.upf
CELL_PARAMETERS angstrom
4.084 0.000 0.000
0.000 4.084 0.000
0.000 0.000 12.140
ATOMIC_POSITIONS crystal
Pd 0.500 0.500 0.668
Pd 0.500 0.000 0.161
Pd 0.500 0.500 0.332
Pd 0.500 0.500 0.000
Pd 0.000 0.500 0.500
Pd 0.000 0.500 0.161
Pd 0.500 0.000 0.839
Pd 0.500 0.000 0.500
Pd 0.000 0.500 0.839
Pb 0.000 0.000 0.672
Pb 0.000 0.000 0.328
Ag 0.000 0.000 0.000

***

Record 13
! K2NpI2O2, relaxed, DFT GGA-PBE; values from VASP
! Space-group type: I4/mmm
! Uncorrected formation energy (eV per atom): -1.904
&SYSTEM
  ibrav = 0, nat = 7, ntyp = 4
/
ATOMIC_SPECIES
I 126.90 I.upf
Np 237.00 Np.upf
K 39.10 K.upf
O 16.00 O.upf
CELL_PARAMETERS angstrom
4.450 0.000 0.000
0.000 4.450 0.000
-2.225 -2.225 9.984
ATOMIC_POSITIONS crystal
I 0.839 0.839 0.677
I 0.161 0.161 0.323
Np 0.000 0.000 0.000
K 0.397 0.397 0.795
K 0.603 0.603 0.205
O 0.500 0.000 0.000
O 0.000 0.500 0.000

***

Record 14
! Li2ZrTc, relaxed, DFT GGA-PBE; values from VASP
! Excess energy over the best structure of this formula in the dataset (meV/atom): 126
! Space-group type: P4mm
&SYSTEM
  ibrav = 0, nat = 4, ntyp = 3
/
ATOMIC_SPECIES
Li 6.94 Li.upf
Tc 98.00 Tc.upf
Zr 91.22 Zr.upf
CELL_PARAMETERS angstrom
2.727 0.000 0.000
0.000 2.727 0.000
0.000 0.000 9.587
ATOMIC_POSITIONS crystal
Li 0.000 0.000 0.012
Li 0.500 0.500 0.269
Tc 0.000 0.000 0.487
Zr 0.500 0.500 0.732

***

Record 15
! Pm12PrSc7, relaxed, DFT GGA-PBE; values from VASP
! Space-group type: R-3m
&SYSTEM
  ibrav = 0, nat = 20, ntyp = 3
/
ATOMIC_SPECIES
Pm 145.00 Pm.upf
Sc 44.96 Sc.upf
Pr 140.91 Pr.upf
CELL_PARAMETERS angstrom
8.634 0.417 0.626
-2.000 8.410 0.626
-2.000 -2.661 8.002
ATOMIC_POSITIONS crystal
Pm 0.738 0.262 0.000
Pm 0.738 0.000 0.262
Pm 0.593 0.593 0.164
Pm 0.262 0.000 0.738
Pm 0.407 0.836 0.407
Pm 0.262 0.738 0.000
Pm 0.000 0.738 0.262
Pm 0.593 0.164 0.593
Pm 0.836 0.407 0.407
Pm 0.000 0.262 0.738
Pm 0.164 0.593 0.593
Pm 0.407 0.407 0.836
Sc 0.839 0.839 0.589
Sc 0.161 0.161 0.411
Sc 0.411 0.161 0.161
Sc 0.589 0.839 0.839
Sc 0.500 0.500 0.500
Sc 0.161 0.411 0.161
Sc 0.839 0.589 0.839
Pr 0.000 0.000 0.000

***

Record 16
! Sr3HfSn, relaxed, DFT GGA-PBE; values from VASP
! Excess energy over the best structure of this formula in the dataset (meV/atom): 217
! Space-group type: Pm-3m
&SYSTEM
  ibrav = 0, nat = 5, ntyp = 3
/
ATOMIC_SPECIES
Sn 118.71 Sn.upf
Sr 87.62 Sr.upf
Hf 178.49 Hf.upf
CELL_PARAMETERS angstrom
-0.148 1.943 -5.678
4.396 -3.832 -1.425
-4.086 -4.193 -1.328
ATOMIC_POSITIONS crystal
Sn 0.500 0.500 0.500
Sr 0.000 0.500 0.000
Sr 0.500 0.000 0.000
Sr 0.000 0.000 0.500
Hf 0.000 0.000 0.000

***

Number 1: E -3.55 eV/atom, magnetization 0.000 μB per atom. Number 2: E -2.91 eV/atom, magnetization 0.000 μB per atom. Number 3: E -1.64 eV/atom, magnetization 0.000 μB per atom. Number 4: E -4.31 eV/atom, magnetization 0.000 μB per atom. Number 5: E -4.42 eV/atom, magnetization 0.000 μB per atom. Number 6: E -3.30 eV/atom, magnetization 0.000 μB per atom. Number 7: E -2.94 eV/atom, magnetization 0.802 μB per atom. Number 8: E -2.21 eV/atom, magnetization 0.000 μB per atom. Number 9: E -8.66 eV/atom, magnetization 0.000 μB per atom. Number 10: E -4.79 eV/atom, magnetization 0.873 μB per atom. Number 11: E -5.77 eV/atom, magnetization 0.000 μB per atom. Number 12: E -4.92 eV/atom, magnetization 0.000 μB per atom. Number 13: E -5.93 eV/atom, magnetization 0.429 μB per atom. Number 14: E -5.42 eV/atom, magnetization 0.000 μB per atom. Number 15: E -5.15 eV/atom, magnetization 0.000 μB per atom. Number 16: E -2.94 eV/atom, magnetization 0.059 μB per atom.